Record 1
TlVBi | PBE | optimized geometry

- Density: 9.61 g cm⁻³
- DFT formation energy: 320.5 meV/atom

a b c (Å): 4.005 4.005 10.006
angles (deg): 90.00 90.00 90.00
Fractional coordinates of all 6 atoms:
Tl 0.250 0.250 0.135
Tl 0.750 0.750 0.865
V 0.250 0.750 0.500
V 0.750 0.250 0.500
Bi 0.250 0.250 0.698
Bi 0.750 0.750 0.302

***

Record 2
TlBi3W | PBE | optimized geometry

- Density: 10.21 g cm⁻³
- Energy relative to the lowest polymorph listed for this composition: 0.00 eV/f.u.
- DFT formation energy: 642.3 meV/atom

a b c (Å): 5.486 5.486 5.486
angles (deg): 90.00 90.00 90.00
Fractional coordinates of all 5 atoms:
Tl 0.000 0.000 0.000
Bi 0.000 0.500 0.500
Bi 0.500 0.000 0.500
Bi 0.500 0.500 0.000
W 0.500 0.500 0.500

***

Record 3
TlBi3W | PBE | optimized geometry

- Density: 8.98 g cm⁻³
- Energy relative to the lowest polymorph listed for this composition: 6.34 eV/f.u.
- DFT formation energy: 1910.1 meV/atom

a b c (Å): 5.725 5.725 5.725
angles (deg): 90.00 90.00 90.00
Fractional coordinates of all 5 atoms:
Tl 0.000 0.000 0.000
Bi 0.000 0.000 0.500
Bi 0.000 0.500 0.000
Bi 0.500 0.000 0.000
W 0.500 0.500 0.500

***

Record 4
TlBiW3 | PBE | optimized geometry

- Density: 12.63 g cm⁻³
- Energy relative to the lowest polymorph listed for this composition: 0.00 eV/f.u.
- DFT formation energy: 2990.1 meV/atom

a b c (Å): 5.024 5.024 5.024
angles (deg): 90.00 90.00 90.00
Fractional coordinates of all 5 atoms:
Tl 0.000 0.000 0.000
Bi 0.500 0.500 0.500
W 0.000 0.000 0.500
W 0.000 0.500 0.000
W 0.500 0.000 0.000

***

Record 5
Tl3BiW | PBE | optimized geometry

- Density: 7.90 g cm⁻³
- Energy relative to the lowest polymorph listed for this composition: 3.62 eV/f.u.
- DFT formation energy: 1679.4 meV/atom

a b c (Å): 5.958 5.958 5.958
angles (deg): 90.00 90.00 90.00
Fractional coordinates of all 5 atoms:
Tl 0.000 0.000 0.500
Tl 0.000 0.500 0.000
Tl 0.500 0.000 0.000
Bi 0.000 0.000 0.000
W 0.500 0.500 0.500

***

Record 6
Tl3BiW | PBE | optimized geometry

- Density: 10.28 g cm⁻³
- Energy relative to the lowest polymorph listed for this composition: 0.00 eV/f.u.
- DFT formation energy: 954.7 meV/atom

a b c (Å): 5.456 5.456 5.456
angles (deg): 90.00 90.00 90.00
Fractional coordinates of all 5 atoms:
Tl 0.000 0.000 0.500
Tl 0.000 0.500 0.000
Tl 0.500 0.000 0.000
Bi 0.500 0.500 0.500
W 0.000 0.000 0.000

***

Please write out number 3 again, unchanged.
TlBi3W | PBE | optimized geometry

- Density: 8.98 g cm⁻³
- Energy relative to the lowest polymorph listed for this composition: 6.34 eV/f.u.
- DFT formation energy: 1910.1 meV/atom

a b c (Å): 5.725 5.725 5.725
angles (deg): 90.00 90.00 90.00
Fractional coordinates of all 5 atoms:
Tl 0.000 0.000 0.000
Bi 0.000 0.000 0.500
Bi 0.000 0.500 0.000
Bi 0.500 0.000 0.000
W 0.500 0.500 0.500